LaMn3C: relaxed, PBE-GGA.

DOS(E_F), states/eV/f.u.: 5.275
Space group: Pm-3m
Volume, Å³ per cell: 69.10
Raw total energy, eV per atom: -8.088
DFT formation energy, eV/atom: 0.244

Cell lengths 4.103, 4.103, 4.103 Å; angles 90.00, 90.00, 90.00 degrees
Site moments in Bohr magnetons follow the coordinates.
Element x y z (fractional)
C  0.000  0.000  0.000  -0.17
La  0.500  0.500  0.500  -0.17
Mn  0.000  0.500  0.000  2.21
Mn  0.000  0.000  0.500  2.29
Mn  0.500  0.000  0.000  1.75